A relaxed structure of LiRe2Ru. Source: Alexandria, functional PBEsol.

formation energy from the elements	223	meV per atom
ΔE to the lowest computed polymorph	0.00	kJ/mol of atoms
VASP energy	-37.9	eV/cell
mass density	14.8	Mg/m³
V	53.8	Å³ per cell

Lattice parameters (Å, degrees): 2.6585 4.1767 4.8859 90.00 97.50 90.00
Last column: nearest neighbours and their distance in Å.
Fractional positions:
Re 0.9708 0.0000 0.9773  3 Ru 2.56-2.74, 4 Li 2.56-2.84, 4 Re 2.58-2.66
Li 0.3105 0.5000 0.7589  2 Ru 2.47, 4 Re 2.56-2.64, 2 Li 2.66
Ru 0.4243 0.0000 0.5048  2 Li 2.47, 5 Re 2.56-2.74, 2 Ru 2.66
Re 0.7944 0.5000 0.2590  4 Re 2.58-2.66, 2 Li 2.61-2.64, 4 Ru 2.66-2.84